No. 1
# CaIr2Pb2 (PBE, relaxed)
# Formation energy in eV/atom: -0.003
# Distance to the lowest polymorph of the same formula in kcal/mol of atoms: 0.00
data_CaIr2Pb2
_symmetry_space_group_name_H-M 'I 4/m m m'
_symmetry_Int_Tables_number 139
_symmetry_space_group_name_Hall '-I 4 2'
_cell_length_a 4.592
_cell_length_b 4.592
_cell_length_c 11.371
_cell_angle_alpha 90.00
_cell_angle_beta 90.00
_cell_angle_gamma 90.00
loop_
_atom_site_label
_atom_site_type_symbol
_atom_site_fract_x
_atom_site_fract_y
_atom_site_fract_z
_atom_site_occupancy
Ca1 Ca 0.000 0.000 0.000 1
Ir1 Ir 0.000 0.000 0.393 1
Pb1 Pb 0.000 0.500 0.250 1

=====

No. 2
# MnTlNi2As (PBE, relaxed)
# Formation energy in eV/atom: 0.327
data_MnTlNi2As
_symmetry_space_group_name_H-M 'P 4/m m m'
_symmetry_Int_Tables_number 123
_symmetry_space_group_name_Hall '-P 4 2'
_cell_length_a 4.442
_cell_length_b 4.442
_cell_length_c 4.673
_cell_angle_alpha 90.00
_cell_angle_beta 90.00
_cell_angle_gamma 90.00
loop_
_atom_site_label
_atom_site_type_symbol
_atom_site_fract_x
_atom_site_fract_y
_atom_site_fract_z
_atom_site_occupancy
Mn1 Mn 0.000 0.000 0.000 1
Tl1 Tl 0.500 0.500 0.000 1
Ni1 Ni 0.000 0.500 0.500 1
As1 As 0.000 0.000 0.500 1

=====

No. 3
# KAlCu (PBE, relaxed)
# Formation energy in eV/atom: 0.170
# Distance to the lowest polymorph of the same formula in kcal/mol of atoms: 0.00
data_KAlCu
_symmetry_space_group_name_H-M 'I m m 2'
_symmetry_Int_Tables_number 44
_symmetry_space_group_name_Hall 'I 2 -2'
_cell_length_a 2.823
_cell_length_b 4.114
_cell_length_c 12.278
_cell_angle_alpha 90.00
_cell_angle_beta 90.00
_cell_angle_gamma 90.00
loop_
_atom_site_label
_atom_site_type_symbol
_atom_site_fract_x
_atom_site_fract_y
_atom_site_fract_z
_atom_site_occupancy
K1 K 0.000 0.000 0.000 1
Al1 Al 0.000 0.000 0.271 1
Cu1 Cu 0.000 0.000 0.733 1

=====

No. 4
# LiBeMo2 (PBE, relaxed)
# Formation energy in eV/atom: 0.270
# Distance to the lowest polymorph of the same formula in kcal/mol of atoms: 0.83
data_LiBeMo2
_symmetry_space_group_name_H-M 'P 4 m m'
_symmetry_Int_Tables_number 99
_symmetry_space_group_name_Hall 'P 4 -2'
_cell_length_a 2.637
_cell_length_b 2.637
_cell_length_c 7.840
_cell_angle_alpha 90.00
_cell_angle_beta 90.00
_cell_angle_gamma 90.00
loop_
_atom_site_label
_atom_site_type_symbol
_atom_site_fract_x
_atom_site_fract_y
_atom_site_fract_z
_atom_site_occupancy
Li1 Li 0.000 0.000 0.000 1
Be1 Be 0.500 0.500 0.793 1
Mo1 Mo 0.000 0.000 0.577 1
Mo2 Mo 0.500 0.500 0.277 1

=====

No. 5
# LiMoBr2 (PBE, relaxed)
# Distance to the lowest polymorph of the same formula in kcal/mol of atoms: 0.24
# Formation energy (no corrections) in eV per atom: -0.102
data_LiMoBr2
_symmetry_space_group_name_H-M 'R -3 m'
_symmetry_Int_Tables_number 166
_symmetry_space_group_name_Hall '-R 3 2"'
_cell_length_a 3.3175
_cell_length_b 3.3175
_cell_length_c 25.0944
_cell_angle_alpha 90.00
_cell_angle_beta 90.00
_cell_angle_gamma 120.00
loop_
_atom_site_label
_atom_site_type_symbol
_atom_site_fract_x
_atom_site_fract_y
_atom_site_fract_z
_atom_site_occupancy
Li1 Li 0.0000 0.0000 0.0000 1
Mo1 Mo 0.0000 0.0000 0.5000 1
Br1 Br 0.0000 0.0000 0.4007 1

=====

No. 6
# Ca2CdSn4Pt3 (PBE, relaxed)
# Formation energy in eV/atom: -0.628
data_Ca2CdSn4Pt3
_symmetry_space_group_name_H-M 'P -4 m 2'
_symmetry_Int_Tables_number 115
_symmetry_space_group_name_Hall 'P -4 -2'
_cell_length_a 4.509
_cell_length_b 4.509
_cell_length_c 11.561
_cell_angle_alpha 90.00
_cell_angle_beta 90.00
_cell_angle_gamma 90.00
loop_
_atom_site_label
_atom_site_type_symbol
_atom_site_fract_x
_atom_site_fract_y
_atom_site_fract_z
_atom_site_occupancy
Ca1 Ca 0.000 0.500 0.249 1
Cd1 Cd 0.000 0.000 0.500 1
Sn1 Sn 0.000 0.000 0.000 1
Sn2 Sn 0.000 0.500 0.643 1
Sn3 Sn 0.500 0.500 0.000 1
Pt1 Pt 0.000 0.500 0.870 1
Pt2 Pt 0.500 0.500 0.500 1

=====

No. 7
# TbSb12Os4 (PBE, relaxed)
# Formation energy (no corrections) in eV per atom: -0.126
data_TbSb12Os4
_symmetry_space_group_name_H-M 'I m -3'
_symmetry_Int_Tables_number 204
_symmetry_space_group_name_Hall '-I 2 2 3'
_cell_length_a 9.409
_cell_length_b 9.409
_cell_length_c 9.409
_cell_angle_alpha 90.00
_cell_angle_beta 90.00
_cell_angle_gamma 90.00
loop_
_atom_site_label
_atom_site_type_symbol
_atom_site_fract_x
_atom_site_fract_y
_atom_site_fract_z
_atom_site_occupancy
Tb1 Tb 0.000 0.000 0.000 1
Sb1 Sb 0.000 0.338 0.156 1
Os1 Os 0.250 0.250 0.250 1

=====

No. 8
# K2MnGeBr6 (PBE, relaxed)
# Formation energy (no corrections) in eV per atom: -1.089
data_K2MnGeBr6
_symmetry_space_group_name_H-M 'R 3'
_symmetry_Int_Tables_number 146
_symmetry_space_group_name_Hall 'R 3'
_cell_length_a 7.6955
_cell_length_b 7.6955
_cell_length_c 18.4800
_cell_angle_alpha 90.00
_cell_angle_beta 90.00
_cell_angle_gamma 120.00
loop_
_atom_site_label
_atom_site_type_symbol
_atom_site_fract_x
_atom_site_fract_y
_atom_site_fract_z
_atom_site_occupancy
K1 K 0.0000 0.0000 0.0000 1
K2 K 0.0000 0.0000 0.4912 1
Mn1 Mn 0.0000 0.0000 0.2454 1
Ge1 Ge 0.0000 0.0000 0.7454 1
Br1 Br 0.0097 0.4360 0.9939 1
Br2 Br 0.1029 0.7593 0.8297 1

=====

No. 9
# YGe3W (PBE, relaxed)
# Formation energy in eV/atom: 0.185
# Distance to the lowest polymorph of the same formula in kcal/mol of atoms: 0.00
data_YGe3W
_symmetry_space_group_name_H-M 'P m -3 m'
_symmetry_Int_Tables_number 221
_symmetry_space_group_name_Hall '-P 4 2 3'
_cell_length_a 4.887
_cell_length_b 4.887
_cell_length_c 4.887
_cell_angle_alpha 90.00
_cell_angle_beta 90.00
_cell_angle_gamma 90.00
loop_
_atom_site_label
_atom_site_type_symbol
_atom_site_fract_x
_atom_site_fract_y
_atom_site_fract_z
_atom_site_occupancy
Y1 Y 0.000 0.000 0.000 1
Ge1 Ge 0.000 0.500 0.500 1
W1 W 0.500 0.500 0.500 1

=====

No. 10
# HfMgZnCd (PBE, relaxed)
# Formation energy in eV/atom: -0.113
data_HfMgZnCd
_symmetry_space_group_name_H-M 'P 4 m m'
_symmetry_Int_Tables_number 99
_symmetry_space_group_name_Hall 'P 4 -2'
_cell_length_a 3.136
_cell_length_b 3.136
_cell_length_c 7.918
_cell_angle_alpha 90.00
_cell_angle_beta 90.00
_cell_angle_gamma 90.00
loop_
_atom_site_label
_atom_site_type_symbol
_atom_site_fract_x
_atom_site_fract_y
_atom_site_fract_z
_atom_site_occupancy
Hf1 Hf 0.000 0.000 0.000 1
Mg1 Mg 0.000 0.000 0.456 1
Zn1 Zn 0.500 0.500 0.230 1
Cd1 Cd 0.500 0.500 0.722 1

=====

No. 11
# Sr2SnPbO6 (PBE, relaxed)
# Formation energy (no corrections) in eV per atom: -1.974
data_Sr2SnPbO6
_symmetry_space_group_name_H-M 'P 1 21/c 1'
_symmetry_Int_Tables_number 14
_symmetry_space_group_name_Hall '-P 2ybc'
_cell_length_a 5.866
_cell_length_b 5.962
_cell_length_c 10.191
_cell_angle_alpha 90.00
_cell_angle_beta 125.07
_cell_angle_gamma 90.00
loop_
_atom_site_label
_atom_site_type_symbol
_atom_site_fract_x
_atom_site_fract_y
_atom_site_fract_z
_atom_site_occupancy
Sr1 Sr 0.239 0.044 0.250 1
Sn1 Sn 0.000 0.000 0.500 1
Pb1 Pb 0.500 0.000 0.000 1
O1 O 0.150 0.214 0.952 1
O2 O 0.242 0.701 0.954 1
O3 O 0.332 0.031 0.743 1

=====

No. 12
# Nd2YTl3Se6 (PBE, relaxed)
# Formation energy (no corrections) in eV per atom: -1.383
data_Nd2YTl3Se6
_symmetry_space_group_name_H-M 'C 1 2/m 1'
_symmetry_Int_Tables_number 12
_symmetry_space_group_name_Hall '-C 2y'
_cell_length_a 7.416
_cell_length_b 12.842
_cell_length_c 8.145
_cell_angle_alpha 90.00
_cell_angle_beta 107.66
_cell_angle_gamma 90.00
loop_
_atom_site_label
_atom_site_type_symbol
_atom_site_fract_x
_atom_site_fract_y
_atom_site_fract_z
_atom_site_occupancy
Nd1 Nd 0.000 0.167 0.000 1
Y1 Y 0.000 0.500 0.000 1
Tl1 Tl 0.000 0.000 0.500 1
Tl2 Tl 0.000 0.332 0.500 1
Se1 Se 0.232 0.337 0.208 1
Se2 Se 0.244 0.000 0.210 1

=====

No. 13
# HfPaNi2As2 (PBE, relaxed)
# Formation energy in eV/atom: -0.803
data_HfPaNi2As2
_symmetry_space_group_name_H-M 'P -3 m 1'
_symmetry_Int_Tables_number 164
_symmetry_space_group_name_Hall '-P 3 2"'
_cell_length_a 3.9750
_cell_length_b 3.9750
_cell_length_c 7.4636
_cell_angle_alpha 90.00
_cell_angle_beta 90.00
_cell_angle_gamma 120.00
loop_
_atom_site_label
_atom_site_type_symbol
_atom_site_fract_x
_atom_site_fract_y
_atom_site_fract_z
_atom_site_occupancy
Hf1 Hf 0.0000 0.0000 0.0000 1
Pa1 Pa 0.0000 0.0000 0.5000 1
Ni1 Ni 0.3333 0.6667 0.2491 1
As1 As 0.3333 0.6667 0.7670 1

=====

No. 14
# CeSmAlTl (PBE, relaxed)
# Formation energy in eV/atom: -0.266
data_CeSmAlTl
_symmetry_space_group_name_H-M 'F -4 3 m'
_symmetry_Int_Tables_number 216
_symmetry_space_group_name_Hall 'F -4 2 3'
_cell_length_a 7.589
_cell_length_b 7.589
_cell_length_c 7.589
_cell_angle_alpha 90.00
_cell_angle_beta 90.00
_cell_angle_gamma 90.00
loop_
_atom_site_label
_atom_site_type_symbol
_atom_site_fract_x
_atom_site_fract_y
_atom_site_fract_z
_atom_site_occupancy
Ce1 Ce 0.000 0.000 0.000 1
Sm1 Sm 0.000 0.000 0.500 1
Al1 Al 0.250 0.250 0.750 1
Tl1 Tl 0.250 0.250 0.250 1

=====

No. 15
# Mn2TlIr (PBE, relaxed)
# Formation energy in eV/atom: 0.307
# Distance to the lowest polymorph of the same formula in kcal/mol of atoms: 1.79
data_Mn2TlIr
_symmetry_space_group_name_H-M 'I -4 m 2'
_symmetry_Int_Tables_number 119
_symmetry_space_group_name_Hall 'I -4 -2'
_cell_length_a 4.086
_cell_length_b 4.086
_cell_length_c 7.873
_cell_angle_alpha 90.00
_cell_angle_beta 90.00
_cell_angle_gamma 90.00
loop_
_atom_site_label
_atom_site_type_symbol
_atom_site_fract_x
_atom_site_fract_y
_atom_site_fract_z
_atom_site_occupancy
Mn1 Mn 0.000 0.000 0.000 1
Mn2 Mn 0.000 0.500 0.250 1
Tl1 Tl 0.000 0.500 0.750 1
Ir1 Ir 0.000 0.000 0.500 1

=====

No. 16
# BaCd3Pt (PBE, relaxed)
# Formation energy in eV/atom: -0.405
# Distance to the lowest polymorph of the same formula in kcal/mol of atoms: 0.00
data_BaCd3Pt
_symmetry_space_group_name_H-M 'C m c m'
_symmetry_Int_Tables_number 63
_symmetry_space_group_name_Hall '-C 2c 2'
_cell_length_a 6.883
_cell_length_b 11.916
_cell_length_c 6.595
_cell_angle_alpha 90.00
_cell_angle_beta 90.00
_cell_angle_gamma 90.00
loop_
_atom_site_label
_atom_site_type_symbol
_atom_site_fract_x
_atom_site_fract_y
_atom_site_fract_z
_atom_site_occupancy
Ba1 Ba 0.000 0.238 0.250 1
Cd1 Cd 0.000 0.125 0.750 1
Cd2 Cd 0.218 0.500 0.000 1
Pt1 Pt 0.000 0.354 0.750 1

=====

No. 17
# Cs2HgBiH (PBE, relaxed)
# Distance to the lowest polymorph of the same formula in kcal/mol of atoms: 0.00
data_Cs2HgBiH
_symmetry_space_group_name_H-M 'P 1 21/m 1'
_symmetry_Int_Tables_number 11
_symmetry_space_group_name_Hall '-P 2yb'
_cell_length_a 8.000
_cell_length_b 4.932
_cell_length_c 11.101
_cell_angle_alpha 90.00
_cell_angle_beta 109.81
_cell_angle_gamma 90.00
loop_
_atom_site_label
_atom_site_type_symbol
_atom_site_fract_x
_atom_site_fract_y
_atom_site_fract_z
_atom_site_occupancy
Cs1 Cs 0.205 0.250 0.401 1
Cs2 Cs 0.222 0.250 0.959 1
Hg1 Hg 0.450 0.750 0.238 1
Bi1 Bi 0.340 0.750 0.709 1
H1 H 0.200 0.750 0.170 1

=====

No. 18
# NaTlRu3 (PBE, relaxed)
# Formation energy in eV/atom: 2.033
# Distance to the lowest polymorph of the same formula in kcal/mol of atoms: 0.00
data_NaTlRu3
_symmetry_space_group_name_H-M 'P m -3 m'
_symmetry_Int_Tables_number 221
_symmetry_space_group_name_Hall '-P 4 2 3'
_cell_length_a 5.087
_cell_length_b 5.087
_cell_length_c 5.087
_cell_angle_alpha 90.00
_cell_angle_beta 90.00
_cell_angle_gamma 90.00
loop_
_atom_site_label
_atom_site_type_symbol
_atom_site_fract_x
_atom_site_fract_y
_atom_site_fract_z
_atom_site_occupancy
Na1 Na 0.000 0.000 0.000 1
Tl1 Tl 0.500 0.500 0.500 1
Ru1 Ru 0.000 0.500 0.500 1

=====

No. 19
# Sn2SBr (PBE, relaxed)
# Distance to the lowest polymorph of the same formula in kcal/mol of atoms: 4.92
# Formation energy (no corrections) in eV per atom: -0.153
data_Sn2SBr
_symmetry_space_group_name_H-M 'F m -3 m'
_symmetry_Int_Tables_number 225
_symmetry_space_group_name_Hall '-F 4 2 3'
_cell_length_a 7.346
_cell_length_b 7.346
_cell_length_c 7.346
_cell_angle_alpha 90.00
_cell_angle_beta 90.00
_cell_angle_gamma 90.00
loop_
_atom_site_label
_atom_site_type_symbol
_atom_site_fract_x
_atom_site_fract_y
_atom_site_fract_z
_atom_site_occupancy
Sn1 Sn 0.250 0.250 0.250 1
S1 S 0.000 0.000 0.000 1
Br1 Br 0.000 0.000 0.500 1

=====

No. 20
# VTcPd2 (PBE, relaxed)
# Formation energy in eV/atom: 0.312
# Distance to the lowest polymorph of the same formula in kcal/mol of atoms: 1.42
data_VTcPd2
_symmetry_space_group_name_H-M 'I -4 2 d'
_symmetry_Int_Tables_number 122
_symmetry_space_group_name_Hall 'I -4 2bw'
_cell_length_a 3.677
_cell_length_b 3.677
_cell_length_c 18.487
_cell_angle_alpha 90.00
_cell_angle_beta 90.00
_cell_angle_gamma 90.00
loop_
_atom_site_label
_atom_site_type_symbol
_atom_site_fract_x
_atom_site_fract_y
_atom_site_fract_z
_atom_site_occupancy
V1 V 0.000 0.000 0.000 1
Tc1 Tc 0.000 0.000 0.500 1
Pd1 Pd 0.248 0.250 0.125 1

=====

no.,V (Å³/atom),magnetization (μB per formula unit)
1,23.98,0.0
2,18.45,3.6
3,23.76,0.0
4,13.62,0.0
5,19.93,0.0
6,23.51,0.0
7,24.50,0.0
8,31.59,5.0
9,23.34,0.0
10,19.46,0.0
11,14.58,0.0
12,30.80,0.0
13,17.02,0.0
14,27.32,0.9
15,16.43,7.9
16,27.05,0.0
17,41.21,0.0
18,26.32,5.8
19,24.77,0.0
20,15.62,0.2